This record from Alexandria via LeMat-Bulk describes a relaxed Na3Mn2P2C2O14 crystal. The functional is PBE with a Hubbard U.

a = 9.100 Å, b = 6.575 Å, c = 10.385 Å
α = 90.00°, β = 91.98°, γ = 90.00°
Space group P2_1 (No. 4)
Inequivalent atoms, fractional coordinates:
Na 0.233 0.000 0.385
Na 0.236 0.523 0.373
Na 0.238 0.968 0.880
Mn 0.351 0.260 0.103
Mn 0.352 0.270 0.612
P 0.426 0.756 0.142
P 0.430 0.766 0.641
C 0.085 0.261 0.641
C 0.086 0.252 0.138
O 0.046 0.760 0.843
O 0.052 0.760 0.349
O 0.147 0.248 0.025
O 0.149 0.270 0.528
O 0.182 0.254 0.736
O 0.190 0.251 0.232
O 0.327 0.568 0.116
O 0.334 0.943 0.100
O 0.336 0.580 0.598
O 0.336 0.953 0.603
O 0.420 0.267 0.428
O 0.427 0.242 0.927
O 0.459 0.769 0.292
O 0.465 0.767 0.789

Properties
- DFT total energy (eV per cell) = -318.8
- M_tot (Bohr magnetons per cell) = 14.00